A geometry-optimized Hg2MoAu structure, computed with GGA-PBEsol.

relative energy among the computed polymorphs = 0.51 eV per formula unit
D(E_F) = 0.536 states/eV per atom
magnetization = 0.000 μB per atom

Structure (CIF):
```
data_Hg2MoAu
_space_group_name_H-M_alt 'P 4/m m m'
_space_group_IT_number 123
_space_group_name_Hall '-P 4 2'
_cell_length_a 4.205
_cell_length_b 4.205
_cell_length_c 4.081
_cell_angle_alpha 90.00
_cell_angle_beta 90.00
_cell_angle_gamma 90.00
loop_
_atom_site_label
_atom_site_type_symbol
_atom_site_fract_x
_atom_site_fract_y
_atom_site_fract_z
Hg1 Hg 0.000 0.500 0.000
Mo1 Mo 0.000 0.000 0.500
Au1 Au 0.500 0.500 0.500
```

***

A geometry-optimized MgCo2O4 structure, computed with GGA-PBEsol.

relative energy among the computed polymorphs = 0.41 eV per formula unit
uncorrected formation energy = -10.48 eV per formula unit
magnetization = 0.000 μB per atom

Structure (CIF):
```
data_MgCo2O4
_space_group_name_H-M_alt 'P m m n'
_space_group_IT_number 59
_cell_length_a 5.557
_cell_length_b 9.864
_cell_length_c 4.818
_cell_angle_alpha 90.00
_cell_angle_beta 90.00
_cell_angle_gamma 90.00
loop_
_space_group_symop_operation_xyz
'x,y,z'
'-x,-y,-z'
'-x+1/2,-y+1/2,z'
'x+1/2,y+1/2,-z'
'x+1/2,-y,-z'
'-x+1/2,y,z'
'-x,y+1/2,-z'
'x,-y+1/2,z'
loop_
_atom_site_label
_atom_site_type_symbol
_atom_site_fract_x
_atom_site_fract_y
_atom_site_fract_z
Mg1 Mg 0.250 0.250 0.029
Mg2 Mg 0.250 0.750 0.353
Co1 Co 0.000 0.000 0.500
Co2 Co 0.250 0.509 0.992
O1 O 0.002 0.107 0.833
O2 O 0.250 0.095 0.318
O3 O 0.250 0.603 0.652
```

***

> magnetization of number 1 (Hg2MoAu)?

0.000 μB per atom

***

> Which formula does entry 1 have?

Hg2MoAu